# 1
# Na6MoBr12 GGA-PBE relaxed
# **Space-group type**: No. 148
# **Electronic total energy**: -0.22907 Ry/atom
# **E_form (uncorrected)**: -1074 meV per atom
data_Na6MoBr12
_chemical_formula_sum 'Na6 Mo1 Br12'
_cell_length_a 8.659
_cell_length_b 8.659
_cell_length_c 8.659
_cell_angle_alpha 98.59
_cell_angle_beta 98.59
_cell_angle_gamma 98.59
_symmetry_space_group_name_H-M 'P 1'
_symmetry_Int_Tables_number 1
loop_
_symmetry_equiv_pos_as_xyz
'x,y,z'
loop_
_atom_site_label
_atom_site_fract_x
_atom_site_fract_y
_atom_site_fract_z
_atom_site_occupancy
Na1 0.606 0.835 0.390 1
Na2 0.610 0.394 0.165 1
Na3 0.165 0.610 0.394 1
Na4 0.394 0.165 0.610 1
Na5 0.390 0.606 0.835 1
Na6 0.835 0.390 0.606 1
Mo1 0.000 0.000 0.000 1
Br1 0.837 0.630 0.402 1
Br2 0.402 0.837 0.630 1
Br3 0.630 0.402 0.837 1
Br4 0.163 0.370 0.598 1
Br5 0.598 0.163 0.370 1
Br6 0.370 0.598 0.163 1
Br7 0.124 0.955 0.264 1
Br8 0.045 0.736 0.876 1
Br9 0.736 0.876 0.045 1
Br10 0.876 0.045 0.736 1
Br11 0.955 0.264 0.124 1
Br12 0.264 0.124 0.955 1

***

# 2
# NaMo3Br GGA-PBE relaxed
# **Space-group type**: No. 221
# **ΔE to the lowest computed polymorph**: 0 kJ/mol of formula units
# **Electronic total energy**: -0.39971 Ry/atom
# **N(E_F)**: 3.491 states/eV/f.u.
# **E_form (uncorrected)**: 1659 meV per atom
data_NaMo3Br
_chemical_formula_sum 'Na1 Mo3 Br1'
_cell_length_a 4.685
_cell_length_b 4.685
_cell_length_c 4.685
_cell_angle_alpha 90.00
_cell_angle_beta 90.00
_cell_angle_gamma 90.00
_symmetry_space_group_name_H-M 'P 1'
_symmetry_Int_Tables_number 1
loop_
_symmetry_equiv_pos_as_xyz
'x,y,z'
loop_
_atom_site_label
_atom_site_fract_x
_atom_site_fract_y
_atom_site_fract_z
_atom_site_occupancy
Na1 0.500 0.500 0.500 1
Mo1 0.000 0.500 0.000 1
Mo2 0.000 0.000 0.500 1
Mo3 0.500 0.000 0.000 1
Br1 0.000 0.000 0.000 1

***

# 3
# Na3MoBr GGA-PBE relaxed
# **Space-group type**: No. 221
# **ΔE to the lowest computed polymorph**: 161 kJ/mol of formula units
# **Electronic total energy**: -0.18273 Ry/atom
# **N(E_F)**: 3.559 states/eV/f.u.
# **E_form (uncorrected)**: 806 meV per atom
data_Na3MoBr
_chemical_formula_sum 'Na3 Mo1 Br1'
_cell_length_a 6.082
_cell_length_b 6.082
_cell_length_c 6.082
_cell_angle_alpha 90.00
_cell_angle_beta 90.00
_cell_angle_gamma 90.00
_symmetry_space_group_name_H-M 'P 1'
_symmetry_Int_Tables_number 1
loop_
_symmetry_equiv_pos_as_xyz
'x,y,z'
loop_
_atom_site_label
_atom_site_fract_x
_atom_site_fract_y
_atom_site_fract_z
_atom_site_occupancy
Na1 0.000 0.500 0.000 1
Na2 0.000 0.000 0.500 1
Na3 0.500 0.000 0.000 1
Mo1 0.000 0.000 0.000 1
Br1 0.500 0.500 0.500 1

***

# 4
# NaMo2Br GGA-PBE relaxed
# **Space-group type**: No. 122
# **ΔE to the lowest computed polymorph**: 0 kJ/mol of formula units
# **Electronic total energy**: -0.40151 Ry/atom
# **N(E_F)**: 3.663 states/eV/f.u.
# **E_form (uncorrected)**: 701 meV per atom
data_NaMo2Br
_chemical_formula_sum 'Na2 Mo4 Br2'
_cell_length_a 3.688
_cell_length_b 3.688
_cell_length_c 12.452
_cell_angle_alpha 81.48
_cell_angle_beta 81.48
_cell_angle_gamma 90.00
_symmetry_space_group_name_H-M 'P 1'
_symmetry_Int_Tables_number 1
loop_
_symmetry_equiv_pos_as_xyz
'x,y,z'
loop_
_atom_site_label
_atom_site_fract_x
_atom_site_fract_y
_atom_site_fract_z
_atom_site_occupancy
Na1 0.500 0.500 0.000 1
Na2 0.250 0.750 0.500 1
Mo1 0.106 0.125 0.250 1
Mo2 0.644 0.625 0.250 1
Mo3 0.375 0.894 0.750 1
Mo4 0.875 0.356 0.750 1
Br1 0.000 0.000 0.000 1
Br2 0.750 0.250 0.500 1

***

# 5
# Na2MoBr6 GGA-PBE relaxed
# **Space-group type**: No. 136
# **ΔE to the lowest computed polymorph**: 25 kJ/mol of formula units
# **Electronic total energy**: -0.26032 Ry/atom
# **N(E_F)**: 6.332 states/eV/f.u.
# **E_form (uncorrected)**: -930 meV per atom
data_Na2MoBr6
_chemical_formula_sum 'Na4 Mo2 Br12'
_cell_length_a 6.722
_cell_length_b 6.722
_cell_length_c 12.707
_cell_angle_alpha 90.00
_cell_angle_beta 90.00
_cell_angle_gamma 90.00
_symmetry_space_group_name_H-M 'P 1'
_symmetry_Int_Tables_number 1
loop_
_symmetry_equiv_pos_as_xyz
'x,y,z'
loop_
_atom_site_label
_atom_site_fract_x
_atom_site_fract_y
_atom_site_fract_z
_atom_site_occupancy
Na1 0.000 0.000 0.331 1
Na2 0.500 0.500 0.831 1
Na3 0.500 0.500 0.169 1
Na4 0.000 0.000 0.669 1
Mo1 0.000 0.000 0.000 1
Mo2 0.500 0.500 0.500 1
Br1 0.312 0.312 0.355 1
Br2 0.688 0.688 0.355 1
Br3 0.188 0.812 0.855 1
Br4 0.812 0.188 0.855 1
Br5 0.188 0.812 0.145 1
Br6 0.812 0.188 0.145 1
Br7 0.312 0.312 0.645 1
Br8 0.688 0.688 0.645 1
Br9 0.268 0.268 0.000 1
Br10 0.732 0.732 0.000 1
Br11 0.232 0.768 0.500 1
Br12 0.768 0.232 0.500 1

***

# 6
# Na3MoBr GGA-PBE relaxed
# **Space-group type**: No. 221
# **ΔE to the lowest computed polymorph**: 0 kJ/mol of formula units
# **Electronic total energy**: -0.20731 Ry/atom
# **N(E_F)**: 2.663 states/eV/f.u.
# **E_form (uncorrected)**: 472 meV per atom
data_Na3MoBr
_chemical_formula_sum 'Na3 Mo1 Br1'
_cell_length_a 5.607
_cell_length_b 5.607
_cell_length_c 5.607
_cell_angle_alpha 90.00
_cell_angle_beta 90.00
_cell_angle_gamma 90.00
_symmetry_space_group_name_H-M 'P 1'
_symmetry_Int_Tables_number 1
loop_
_symmetry_equiv_pos_as_xyz
'x,y,z'
loop_
_atom_site_label
_atom_site_fract_x
_atom_site_fract_y
_atom_site_fract_z
_atom_site_occupancy
Na1 0.000 0.500 0.000 1
Na2 0.000 0.000 0.500 1
Na3 0.500 0.000 0.000 1
Mo1 0.500 0.500 0.500 1
Br1 0.000 0.000 0.000 1